No. 1
Sc5Cd: relaxed, GGA-PBE.

It has space group Cm (No. 8), with a = 11.7122 Å, b = 3.2870 Å, c = 7.6239 Å, α = 90.00°, β = 104.24° and γ = 90.00°. The distinct sites, in fractional coordinates, are Sc at (0.0000, 0.0000, 0.0000), Sc at (0.0387, 0.0000, 0.6070), Sc at (0.1671, 0.5000, 0.3377), Sc at (0.2181, 0.5000, 0.9352), Sc at (0.3904, 0.0000, 0.2685) and Cd at (0.3230, 0.0000, 0.6620).

=====

No. 2
Sc4Cd5: relaxed, GGA-PBE.

It has space group I4/mmm (No. 139), with a = 9.2744 Å, b = 9.2744 Å, c = 4.6824 Å, α = 90.00°, β = 90.00° and γ = 90.00°. The distinct sites, in fractional coordinates, are Sc at (0.0000, 0.3284, 0.0000), Cd at (0.0000, 0.0000, 0.0000) and Cd at (0.1674, 0.1674, 0.5000).

=====

No. 3
Sc3Cd: relaxed, GGA-PBE.

It has space group Pmmn (No. 59, origin choice 2), with a = 5.1072 Å, b = 6.3428 Å, c = 5.6991 Å, α = 90.00°, β = 90.00° and γ = 90.00°. The distinct sites, in fractional coordinates, are Sc at (0.2500, 0.0049, 0.1563), Sc at (0.2500, 0.2500, 0.6395) and Cd at (0.2500, 0.7500, 0.6652).

=====

| no. | energy of formation (meV per atom) | calculated density (Mg/m³) |
| --- | --- | --- |
| 1 | -68 | 3.94 |
| 2 | -203 | 6.12 |
| 3 | -100 | 4.45 |